Entry from Alexandria: a relaxed LiScMo crystal (PBE).

As for the crystal system: monoclinic. For the energy above the most stable polymorph in this dataset, the calculation gives 5.07 kcal/mol of atoms.

Lattice parameters (Å, degrees): 9.946 4.381 5.825 90.00 122.79 90.00
Space group Cm (No. 8)
Symmetry-distinct sites (fractional):
Li1 0.000 0.000 0.000 [2 per cell]
Li2 0.128 0.500 0.005 [2 per cell]
Sc1 0.326 0.000 0.009 [2 per cell]
Sc2 0.468 0.500 0.481 [2 per cell]
Mo1 0.180 0.500 0.553 [2 per cell]
Mo2 0.286 0.000 0.494 [2 per cell]



Entry from Alexandria: a relaxed LiSc2Mo crystal (PBE).

As for the crystal system: trigonal. For the energy above the most stable polymorph in this dataset, the calculation gives 8.96 kcal/mol of atoms.

Lattice parameters (Å, degrees): 2.9688 2.9688 32.2112 90.00 90.00 120.00
Space group R-3m (No. 166, hexagonal axes)
Symmetry-distinct sites (fractional):
Li1 0.0000 0.0000 0.0000 [3 per cell]
Sc1 0.0000 0.0000 0.4180 [6 per cell]
Mo1 0.0000 0.0000 0.5000 [3 per cell]



Entry from Alexandria: a relaxed LiScMo crystal (PBE).

As for the crystal system: tetragonal. For the energy above the most stable polymorph in this dataset, the calculation gives 6.73 kcal/mol of atoms.

Lattice parameters (Å, degrees): 2.769 2.769 14.366 90.00 90.00 90.00
Space group I4mm (No. 107)
Symmetry-distinct sites (fractional):
Li1 0.000 0.000 0.000 [2 per cell]
Sc1 0.000 0.000 0.312 [2 per cell]
Mo1 0.000 0.000 0.659 [2 per cell]



Entry from Alexandria: a relaxed LiSc4Mo crystal (PBE).

As for the crystal system: cubic.

Lattice parameters (Å, degrees): 8.057 8.057 8.057 90.00 90.00 90.00
Space group F-43m (No. 216)
Symmetry-distinct sites (fractional):
Li1 0.000 0.000 0.000 [4 per cell]
Sc1 0.123 0.123 0.377 [16 per cell]
Mo1 0.250 0.250 0.750 [4 per cell]



Entry from Alexandria: a relaxed LiScMo crystal (PBE).

As for the crystal system: orthorhombic. For the energy above the most stable polymorph in this dataset, the calculation gives 6.58 kcal/mol of atoms.

Lattice parameters (Å, degrees): 3.405 4.454 14.538 90.00 90.00 90.00
Space group Fmm2 (No. 42)
Symmetry-distinct sites (fractional):
Li1 0.000 0.000 0.000 [4 per cell]
Sc1 0.000 0.000 0.311 [4 per cell]
Mo1 0.000 0.000 0.659 [4 per cell]



Entry from Alexandria: a relaxed LiSc2Mo2 crystal (PBE).

As for the crystal system: tetragonal.

Lattice parameters (Å, degrees): 7.826 7.826 3.352 90.00 90.00 90.00
Space group P4/mbm (No. 127)
Symmetry-distinct sites (fractional):
Li1 0.000 0.000 0.000 [2 per cell]
Sc1 0.189 0.311 0.500 [4 per cell]
Mo1 0.102 0.602 0.000 [4 per cell]



| no. | V (Å³/cell) | DFT formation energy (eV/atom) |
| --- | --- | --- |
| 1 | 213.4 | 0.229 |
| 2 | 245.9 | 0.507 |
| 3 | 110.1 | 0.301 |
| 4 | 522.9 | 0.666 |
| 5 | 220.5 | 0.295 |
| 6 | 205.3 | 0.343 |